The following is a PBE-GGA calculation of a geometry-optimized LiBIr structure, from Alexandria.

Values from the calculation:
raw total energy	-0.2252	hartree per atom
mass density	8.8	g/cm3
energy above the lowest structure with this stoichiometry	195	meV/atom
formation energy from the elements	-7.2	kcal/mol of atoms
SG	No. 11

Unit cell a=2.9565 b=6.0126 c=4.5288 alpha=100.52 beta=90.00 gamma=90.00
Atoms (fractional coordinates):
B: 0.7500 0.5600 0.4801
B: 0.2500 0.4400 0.5199
Li: 0.7500 0.7919 0.0087
Li: 0.2500 0.2081 0.9913
Ir: 0.7500 0.1970 0.4933
Ir: 0.2500 0.8030 0.5067